[1]
Entry from Alexandria via LeMat-Bulk: LiOsPd2 after structural relaxation (GGA-PBE).

Unit cell a=3.7836 b=3.7836 c=9.0625 alpha=77.95 beta=77.95 gamma=90.00
Closest atoms and distances in Å follow each position.
Atoms (fractional coordinates):
Os 0.0000 0.0000 0.0000  4 Pd 2.55, 4 Li 2.68
Os 0.7500 0.2500 0.5000  4 Pd 2.55, 4 Li 2.68
Pd 0.6229 0.1250 0.2500  2 Li 2.54, 2 Os 2.55, 4 Pd 2.66-2.69
Pd 0.1271 0.6250 0.2500  2 Li 2.54, 2 Os 2.55, 4 Pd 2.66-2.69
Pd 0.3750 0.3771 0.7500  2 Li 2.54, 2 Os 2.55, 4 Pd 2.66-2.69
Pd 0.8750 0.8729 0.7500  2 Li 2.54, 2 Os 2.55, 4 Pd 2.66-2.69
Li 0.5000 0.5000 0.0000  4 Pd 2.54, 4 Os 2.68
Li 0.2500 0.7500 0.5000  4 Pd 2.54, 4 Os 2.68

- Theoretical density: 11.0 g/cm³
- Space group: I-42d
- Total energy: -5.27 eV/atom
- Calculated volume: 62.0 Å³/f.u.
- Total magnetization: 0.000 μB per atom
- Energy relative to the lowest polymorph listed for this composition: 7.910 kcal/mol of atoms
- Calculated formation energy: 0.6137 eV per atom

***

[2]
Entry from Alexandria via LeMat-Bulk: ZnSi2Tc after structural relaxation (GGA-PBE).

Unit cell a=3.1881 b=3.1893 c=5.3599 alpha=90.00 beta=90.00 gamma=90.00
Closest atoms and distances in Å follow each position.
Atoms (fractional coordinates):
Si 0.0000 0.0000 0.0009  4 Tc 2.62, 4 Zn 2.63, 2 Si 2.67-2.69
Si 0.0000 0.0000 0.4991  4 Tc 2.62, 4 Zn 2.63, 2 Si 2.67-2.69
Tc 0.5000 0.5000 0.2500  8 Si 2.62, 2 Zn 2.68
Zn 0.5000 0.5000 0.7500  8 Si 2.63, 2 Tc 2.68

- Formation energy without anion corrections: -0.091 eV per atom
- Theoretical density: 6.7 g/cm³
- Space group: P4/mmm
- Total energy: -5.71 eV/atom
- Calculated volume: 54.5 Å³/f.u.
- Total magnetization: 0.000 μB per atom
- Energy relative to the lowest polymorph listed for this composition: 0.460 kcal/mol of atoms

***

Q: total magnetization of number 2 (ZnSi2Tc)?
A: 0.000 μB per atom

***

Q: The lowest total energy belongs to which entry?
A: ZnSi2Tc

***

Q: Look up the total magnetization of the second one.
A: 0.000 μB per atom